## YInOsO6 (PBE)

Data for an optimized crystal structure of YInOsO6.

Cell: 5.4711 5.4711 9.0489 Å, 90.00 90.00 120.00°
With the nearest neighbours (Å) after each atom.
Space group P-31c (No. 163)
Inequivalent atoms, fractional coordinates:
Y 0.3333 0.6667 0.2500 [2 per cell]  6 O 2.26
In 0.0000 0.0000 0.0000 [2 per cell]  6 O 2.23
Os 0.3333 0.6667 0.7500 [2 per cell]  6 O 1.95
O 0.0433 0.3675 0.6290 [12 per cell]  1 Os 1.95

Formation energy from raw total energies ... -40.14 kcal/mol of atoms

## ZnInOsO6 (PBE)

Data for an optimized crystal structure of ZnInOsO6.

Cell: 5.2163 5.2163 9.1400 Å, 90.00 90.00 120.00°
With the nearest neighbours (Å) after each atom.
Space group P-31c (No. 163)
Inequivalent atoms, fractional coordinates:
Zn 0.3333 0.6667 0.2500 [2 per cell]  6 O 2.09
In 0.0000 0.0000 0.0000 [2 per cell]  6 O 2.22
Os 0.3333 0.6667 0.7500 [2 per cell]  6 O 1.91
O 0.0269 0.3677 0.6332 [12 per cell]  1 Os 1.91, 1 Zn 2.09

Formation energy from raw total energies ... -25.68 kcal/mol of atoms